No. 1
Material: Cr6IrC
Method: DFT, PBE
State: relaxed

## Properties
For the calculated density, the calculation gives 9.217 g cm⁻³. As for the final energy: -74.67 eV per cell. The value obtained for the energy of formation from the pure elements is 0.1439 eV/atom.

a b c (Å): 4.425 4.614 4.897
angles (deg): 97.93 105.09 100.75
Positions (direct):
Cr 0.109 0.247 0.197
Cr 0.249 0.819 0.431
Cr 0.278 0.406 0.773
Cr 0.722 0.594 0.227
Cr 0.751 0.181 0.569
Cr 0.891 0.753 0.803
Ir 0.500 0.000 0.000
C 0.500 0.500 0.500

---

No. 2
Material: Mg3AsN
Method: DFT, PBE
State: relaxed

## Properties
For the calculated density, the calculation gives 3.072 g cm⁻³. As for the final energy: -82.16 eV per cell. As for the formation energy without anion corrections: -0.556 eV per atom.

a b c (Å): 7.817 7.817 5.741
angles (deg): 92.48 92.48 87.51
Positions (direct):
Mg 0.023 0.171 0.429
Mg 0.104 0.693 0.049
Mg 0.171 0.023 0.929
Mg 0.239 0.503 0.636
Mg 0.307 0.896 0.451
Mg 0.497 0.761 0.864
Mg 0.503 0.239 0.136
Mg 0.693 0.104 0.549
Mg 0.761 0.497 0.364
Mg 0.829 0.977 0.071
Mg 0.896 0.307 0.951
Mg 0.977 0.829 0.571
As 0.194 0.395 0.196
As 0.395 0.194 0.696
As 0.605 0.806 0.304
As 0.806 0.605 0.804
N 0.076 0.924 0.250
N 0.238 0.762 0.750
N 0.762 0.238 0.250
N 0.924 0.076 0.750

---

No. 3
Material: YMoPt2
Method: DFT, PBE
State: relaxed

## Properties
For the calculated density, the calculation gives 13.445 g cm⁻³. As for the final energy: -29.60 eV per cell. The value obtained for the energy of formation from the pure elements is -0.0549 eV/atom. The calculation puts the energy above the most stable polymorph in this dataset at 40.6 kJ per mole of atoms.

a b c (Å): 9.760 9.760 9.760
angles (deg): 17.21 17.21 17.21
Positions (direct):
Y 0.000 0.000 0.000
Mo 0.500 0.500 0.500
Pt 0.244 0.244 0.244
Pt 0.756 0.756 0.756

---

No. 4
Material: Zr6TcN4
Method: DFT, PBE
State: relaxed

## Properties
For the calculated density, the calculation gives 7.277 g cm⁻³. As for the final energy: -218.07 eV per cell. As for the formation energy without anion corrections: -1.280 eV per atom.

a b c (Å): 5.807 5.807 17.355
angles (deg): 90.00 90.00 146.84
Positions (direct):
Zr 0.000 0.000 0.000
Zr 0.000 0.000 0.500
Zr 0.152 0.848 0.750
Zr 0.275 0.725 0.082
Zr 0.275 0.725 0.418
Zr 0.457 0.543 0.651
Zr 0.457 0.543 0.849
Zr 0.543 0.457 0.151
Zr 0.543 0.457 0.349
Zr 0.725 0.275 0.582
Zr 0.725 0.275 0.918
Zr 0.848 0.152 0.250
Tc 0.165 0.835 0.250
Tc 0.835 0.165 0.750
N 0.094 0.906 0.619
N 0.094 0.906 0.881
N 0.361 0.639 0.537
N 0.361 0.639 0.963
N 0.639 0.361 0.037
N 0.639 0.361 0.463
N 0.906 0.094 0.119
N 0.906 0.094 0.381

---

- The highest calculated density belongs to which entry?
  YMoPt2